(1)
This record from the Alexandria database describes an optimized crystal structure of EuAl2Ge. The functional is PBE.

* formation energy from the elements: -0.29 eV per atom
* excess energy over the best structure of this formula in the dataset: 158.4 meV/atom

a = 4.486 Å, b = 4.275 Å, c = 4.275 Å
α = 90.00°, β = 90.00°, γ = 90.00°
Fractional positions:
Eu  0.500  0.000  0.000
Ge  0.500  0.500  0.500
Al  0.000  0.000  0.500
Al  0.000  0.500  0.000

=====

(2)
This record from the Alexandria database describes an optimized crystal structure of LaEuAlGe. The functional is PBE.

* formation energy from the elements: -0.43 eV per atom

a = 5.313 Å, b = 5.313 Å, c = 5.313 Å
α = 60.00°, β = 60.00°, γ = 60.00°
Fractional positions:
Eu  0.250  0.250  0.250
Al  0.500  0.500  0.500
La  0.750  0.750  0.750
Ge  0.000  0.000  0.000

=====

(3)
This record from the Alexandria database describes an optimized crystal structure of EuAlGe2O7. The functional is PBE.

* formation energy from raw total energies: -2.23 eV/atom

a = 6.584 Å, b = 7.349 Å, c = 12.874 Å
α = 62.39°, β = 90.00°, γ = 90.00°
Fractional positions:
Ge  0.590  0.806  0.780
O  0.676  0.907  0.525
O  0.497  0.249  0.073
O  0.617  0.272  0.277
Ge  0.657  0.708  0.051
Ge  0.910  0.806  0.280
O  0.183  0.336  0.190
O  0.553  0.299  0.864
O  0.817  0.664  0.810
O  0.341  0.492  0.414
Al  0.400  0.712  0.271
O  0.503  0.751  0.927
Eu  0.646  0.256  0.473
O  0.447  0.701  0.136
Eu  0.146  0.744  0.027
O  0.120  0.925  0.804
Ge  0.843  0.708  0.551
O  0.824  0.907  0.025
O  0.883  0.272  0.777
Al  0.900  0.288  0.229
Eu  0.354  0.744  0.527
O  0.380  0.925  0.304
O  0.053  0.701  0.636
Ge  0.157  0.292  0.449
O  0.159  0.492  0.914
Al  0.100  0.712  0.771
O  0.620  0.075  0.696
O  0.383  0.728  0.723
Ge  0.410  0.194  0.220
Al  0.600  0.288  0.729
O  0.003  0.249  0.573
Ge  0.343  0.292  0.949
O  0.841  0.508  0.086
O  0.317  0.336  0.690
O  0.947  0.299  0.364
O  0.117  0.728  0.223
Ge  0.090  0.194  0.720
O  0.880  0.075  0.196
O  0.659  0.508  0.586
Eu  0.854  0.256  0.973
O  0.997  0.751  0.427
O  0.324  0.093  0.475
O  0.683  0.664  0.310
O  0.176  0.093  0.975

=====

(4)
This record from the Alexandria database describes an optimized crystal structure of PmEuAlGe. The functional is PBE.

* formation energy from the elements: -0.40 eV per atom

a = 5.237 Å, b = 5.237 Å, c = 5.237 Å
α = 60.00°, β = 60.00°, γ = 60.00°
Fractional positions:
Pm  0.000  0.000  0.000
Ge  0.250  0.250  0.250
Al  0.750  0.750  0.750
Eu  0.500  0.500  0.500

=====

(5)
This record from the Alexandria database describes an optimized crystal structure of Eu2AlH. The functional is PBE.

* excess energy over the best structure of this formula in the dataset: 41.9 meV/atom

a = 3.308 Å, b = 3.308 Å, c = 7.915 Å
α = 90.00°, β = 90.00°, γ = 90.00°
Fractional positions:
Eu  0.000  0.000  0.788
Eu  0.000  0.000  0.212
H  0.500  0.500  0.000
Al  0.500  0.500  0.500

=====

(6)
This record from the Alexandria database describes an optimized crystal structure of Eu3Al5H12. The functional is PBE.

a = 10.627 Å, b = 10.627 Å, c = 10.627 Å
α = 109.47°, β = 109.47°, γ = 109.47°
Fractional positions:
H  0.178  0.084  0.697
H  0.905  0.822  0.519
H  0.595  0.613  0.416
H  0.322  0.519  0.405
H  0.113  0.697  0.519
H  0.595  0.981  0.678
H  0.113  0.416  0.095
Al  0.500  0.500  0.000
Eu  0.375  0.625  0.250
H  0.584  0.697  0.678
Al  0.875  0.250  0.625
H  0.019  0.405  0.822
Al  0.250  0.375  0.625
H  0.084  0.905  0.387
H  0.822  0.905  0.019
H  0.387  0.405  0.084
H  0.678  0.197  0.584
H  0.095  0.178  0.481
H  0.197  0.678  0.084
Eu  0.625  0.250  0.375
Al  0.000  0.500  0.000
H  0.803  0.481  0.387
H  0.019  0.613  0.697
Eu  0.250  0.125  0.375
Al  0.875  0.625  0.750
H  0.095  0.916  0.113
Eu  0.125  0.250  0.875
H  0.481  0.803  0.887
Al  0.500  0.000  0.500
H  0.803  0.322  0.916
H  0.322  0.803  0.416
H  0.697  0.584  0.178
Al  0.750  0.625  0.375
H  0.822  0.916  0.303
Al  0.500  0.500  0.500
H  0.584  0.887  0.405
H  0.697  0.113  0.019
H  0.981  0.387  0.303
H  0.519  0.197  0.113
H  0.481  0.678  0.095
Al  0.375  0.250  0.125
Eu  0.250  0.625  0.875
H  0.303  0.416  0.822
H  0.887  0.303  0.481
H  0.197  0.519  0.613
H  0.519  0.322  0.905
H  0.178  0.095  0.981
Al  0.125  0.750  0.375
Eu  0.375  0.750  0.625
Al  0.000  0.000  0.500
Al  0.000  0.000  0.000
Al  0.625  0.750  0.875
H  0.905  0.084  0.887
Al  0.500  0.000  0.000
H  0.416  0.113  0.595
Al  0.750  0.125  0.875
H  0.887  0.584  0.905
H  0.387  0.981  0.803
H  0.916  0.095  0.613
H  0.613  0.019  0.197
H  0.981  0.595  0.178
Al  0.125  0.375  0.250
Al  0.000  0.500  0.500
Al  0.250  0.875  0.125
Eu  0.125  0.875  0.750
Eu  0.875  0.750  0.125
Al  0.375  0.125  0.750
H  0.405  0.019  0.322
H  0.084  0.178  0.197
H  0.678  0.481  0.595
Eu  0.875  0.125  0.250
H  0.303  0.887  0.981
H  0.916  0.822  0.803
Al  0.625  0.875  0.250
Eu  0.625  0.375  0.750
Eu  0.750  0.875  0.625
H  0.613  0.595  0.916
Eu  0.750  0.375  0.125
H  0.416  0.303  0.322
H  0.405  0.387  0.584

=====

(7)
This record from the Alexandria database describes an optimized crystal structure of EuAl2H6. The functional is PBE.

a = 5.097 Å, b = 5.097 Å, c = 5.097 Å
α = 60.00°, β = 60.00°, γ = 60.00°
Fractional positions:
H  0.711  0.289  0.711
H  0.289  0.711  0.711
H  0.289  0.711  0.289
H  0.711  0.289  0.289
Eu  0.000  0.000  0.000
H  0.711  0.711  0.289
Al  0.750  0.750  0.750
Al  0.250  0.250  0.250
H  0.289  0.289  0.711

=====

(8)
This record from the Alexandria database describes an optimized crystal structure of Eu2AlH. The functional is PBE.

* excess energy over the best structure of this formula in the dataset: 0.0 meV/atom

a = 3.752 Å, b = 3.752 Å, c = 8.118 Å
α = 76.64°, β = 76.64°, γ = 60.00°
Fractional positions:
Eu  0.731  0.731  0.807
Al  0.500  0.500  0.500
Eu  0.269  0.269  0.193
H  0.000  0.000  0.000

=====

(9)
This record from the Alexandria database describes an optimized crystal structure of EuAlHg2. The functional is PBE.

* formation energy from the elements: -0.23 eV per atom
* excess energy over the best structure of this formula in the dataset: 82.2 meV/atom

a = 3.649 Å, b = 3.649 Å, c = 7.362 Å
α = 90.00°, β = 90.00°, γ = 90.00°
Fractional positions:
Hg  0.000  0.000  0.218
Hg  0.000  0.000  0.782
Eu  0.500  0.500  0.500
Al  0.500  0.500  0.000

=====

(10)
This record from the Alexandria database describes an optimized crystal structure of EuAl2Hg. The functional is PBE.

* formation energy from the elements: -0.18 eV per atom

a = 4.467 Å, b = 4.489 Å, c = 4.489 Å
α = 90.00°, β = 90.00°, γ = 90.00°
Fractional positions:
Eu  0.500  0.500  0.500
Al  0.000  0.500  0.000
Hg  0.500  0.000  0.000
Al  0.000  0.000  0.500

=====

(11)
This record from the Alexandria database describes an optimized crystal structure of EuAlHg2. The functional is PBE.

* formation energy from the elements: -0.23 eV per atom
* excess energy over the best structure of this formula in the dataset: 84.0 meV/atom

a = 4.389 Å, b = 4.762 Å, c = 4.762 Å
α = 90.00°, β = 90.00°, γ = 90.00°
Fractional positions:
Hg  0.000  0.500  0.000
Hg  0.000  0.000  0.500
Eu  0.500  0.000  0.000
Al  0.500  0.500  0.500

=====

(12)
This record from the Alexandria database describes an optimized crystal structure of EuAlHg2. The functional is PBE.

* formation energy from the elements: -0.32 eV per atom
* excess energy over the best structure of this formula in the dataset: 0.0 meV/atom

a = 5.142 Å, b = 5.142 Å, c = 5.142 Å
α = 60.00°, β = 60.00°, γ = 60.00°
Fractional positions:
Eu  0.500  0.500  0.500
Hg  0.250  0.250  0.250
Hg  0.750  0.750  0.750
Al  0.000  0.000  0.000

=====

(13)
This record from the Alexandria database describes an optimized crystal structure of EuHoAlHg. The functional is PBE.

* formation energy from the elements: -0.36 eV per atom

a = 5.308 Å, b = 5.308 Å, c = 5.308 Å
α = 60.00°, β = 60.00°, γ = 60.00°
Fractional positions:
Hg  0.750  0.750  0.750
Al  0.250  0.250  0.250
Ho  0.500  0.500  0.500
Eu  0.000  0.000  0.000

=====

(14)
This record from the Alexandria database describes an optimized crystal structure of LiEuAlHg. The functional is PBE.

* formation energy from the elements: -0.28 eV per atom

a = 5.000 Å, b = 5.000 Å, c = 5.000 Å
α = 60.00°, β = 60.00°, γ = 60.00°
Fractional positions:
Eu  0.000  0.000  0.000
Hg  0.250  0.250  0.250
Li  0.750  0.750  0.750
Al  0.500  0.500  0.500

=====

(15)
This record from the Alexandria database describes an optimized crystal structure of EuLuAlHg. The functional is PBE.

* formation energy from the elements: -0.35 eV per atom

a = 5.266 Å, b = 5.266 Å, c = 5.266 Å
α = 60.00°, β = 60.00°, γ = 60.00°
Fractional positions:
Lu  0.500  0.500  0.500
Hg  0.750  0.750  0.750
Al  0.250  0.250  0.250
Eu  0.000  0.000  0.000

=====

(16)
This record from the Alexandria database describes an optimized crystal structure of EuMgAlHg. The functional is PBE.

* formation energy from the elements: -0.28 eV per atom

a = 5.127 Å, b = 5.127 Å, c = 5.127 Å
α = 60.00°, β = 60.00°, γ = 60.00°
Fractional positions:
Al  0.250  0.250  0.250
Hg  0.750  0.750  0.750
Eu  0.000  0.000  0.000
Mg  0.500  0.500  0.500

=====

(17)
This record from the Alexandria database describes an optimized crystal structure of NaEuAlHg. The functional is PBE.

* formation energy from the elements: -0.16 eV per atom

a = 5.154 Å, b = 5.154 Å, c = 5.154 Å
α = 60.00°, β = 60.00°, γ = 60.00°
Fractional positions:
Al  0.250  0.250  0.250
Hg  0.500  0.500  0.500
Eu  0.750  0.750  0.750
Na  0.000  0.000  0.000

=====

(18)
This record from the Alexandria database describes an optimized crystal structure of NdEuAlHg. The functional is PBE.

* formation energy from the elements: -0.37 eV per atom

a = 5.411 Å, b = 5.411 Å, c = 5.411 Å
α = 60.00°, β = 60.00°, γ = 60.00°
Fractional positions:
Hg  0.750  0.750  0.750
Eu  0.500  0.500  0.500
Al  0.250  0.250  0.250
Nd  0.000  0.000  0.000

=====

(19)
This record from the Alexandria database describes an optimized crystal structure of EuAlHgPb. The functional is PBE.

* formation energy from the elements: -0.19 eV per atom

a = 5.309 Å, b = 5.309 Å, c = 5.309 Å
α = 60.00°, β = 60.00°, γ = 60.00°
Fractional positions:
Eu  0.000  0.000  0.000
Al  0.500  0.500  0.500
Hg  0.750  0.750  0.750
Pb  0.250  0.250  0.250

=====

(20)
This record from the Alexandria database describes an optimized crystal structure of PmEuAlHg. The functional is PBE.

* formation energy from the elements: -0.37 eV per atom

a = 5.391 Å, b = 5.391 Å, c = 5.391 Å
α = 60.00°, β = 60.00°, γ = 60.00°
Fractional positions:
Al  0.250  0.250  0.250
Eu  0.000  0.000  0.000
Pm  0.500  0.500  0.500
Hg  0.750  0.750  0.750

=====

| no. | raw total energy (eV per atom) |
| --- | --- |
| 1 | -5.8818 |
| 2 | -6.3218 |
| 3 | -7.4959 |
| 4 | -6.2506 |
| 5 | -7.0391 |
| 6 | -4.4744 |
| 7 | -3.5539 |
| 8 | -7.0810 |
| 9 | -3.8901 |
| 10 | -4.6917 |
| 11 | -3.8882 |
| 12 | -3.9722 |
| 13 | -5.0822 |
| 14 | -4.3342 |
| 15 | -5.0561 |
| 16 | -4.2619 |
| 17 | -4.0663 |
| 18 | -5.1367 |
| 19 | -4.7001 |
| 20 | -5.1331 |